Density functional theory data (PBE) for InTe2IrAuS after structural relaxation.

Lattice parameters (Å, degrees): 8.6273 8.6273 9.1666 90.00 90.00 152.54
Last column: nearest neighbours and their distance in Å.
Atoms (fractional coordinates):
Au1 0.6505 0.3495 0.7500  2 S 2.67, 2 In 2.76, 2 Te 2.77
Au2 0.3495 0.6505 0.2500  2 S 2.67, 2 In 2.76, 2 Te 2.77
Te1 0.3980 0.6020 0.5388  2 Ir 2.69, 1 Au 2.77, 1 In 3.01
Te2 0.3980 0.6020 0.9612  2 Ir 2.69, 1 Au 2.77, 1 In 3.01
Te3 0.6020 0.3980 0.4612  2 Ir 2.69, 1 Au 2.77, 1 In 3.01
Te4 0.6020 0.3980 0.0388  2 Ir 2.69, 1 Au 2.77, 1 In 3.01
S1 0.0480 0.9520 0.7500  2 Ir 2.43, 2 Au 2.67
S2 0.9520 0.0480 0.2500  2 Ir 2.43, 2 Au 2.67
Ir1 0.0000 0.0000 0.0000  2 S 2.43, 4 Te 2.69
Ir2 0.0000 0.0000 0.5000  2 S 2.43, 4 Te 2.69
In1 0.7392 0.2608 0.2500  2 Au 2.76, 2 Te 3.01
In2 0.2608 0.7392 0.7500  2 Au 2.76, 2 Te 3.01

Summary:
Volume   26.21 Å³/atom
Final energy   -4.33 eV per atom

***

Density functional theory data (PBE) for TaNbSe4 after structural relaxation.

Lattice parameters (Å, degrees): 3.4625 12.1035 12.1035 151.17 90.00 90.00
Last column: nearest neighbours and their distance in Å.
Atoms (fractional coordinates):
Ta1 0.5000 0.5659 0.5659  6 Se 2.59-2.62
Se1 0.0000 0.6718 0.8123  2 Ta 2.62, 1 Nb 2.64
Se2 0.0000 0.8123 0.6718  2 Ta 2.62, 1 Nb 2.64
Se3 0.5000 0.1694 0.3151  1 Ta 2.59, 2 Nb 2.61
Se4 0.5000 0.3151 0.1694  1 Ta 2.59, 2 Nb 2.61
Nb1 0.0000 0.0834 0.0834  6 Se 2.61-2.64

Summary:
Volume   40.77 Å³/atom
Final energy   -6.81 eV per atom
Relative energy among the computed polymorphs   0 meV/atom